#i
Compound: Re2H2Se
Source: Alexandria
Functional: GGA-PBE
Structure: relaxed

Cell and atoms, written as CIF:
```
data_Re2H2Se
_cell_length_a 5.7825
_cell_length_b 5.7825
_cell_length_c 3.0708
_cell_angle_alpha 90.00
_cell_angle_beta 90.00
_cell_angle_gamma 90.00
_symmetry_space_group_name_H-M 'P 4/m b m'
_symmetry_Int_Tables_number 127
_symmetry_space_group_name_Hall '-P 4 2ab'
loop_
_atom_site_label
_atom_site_type_symbol
_atom_site_fract_x
_atom_site_fract_y
_atom_site_fract_z
Re1 Re 0.1634 0.3366 0.0000
H1 H 0.0729 0.5729 0.5000
Se1 Se 0.0000 0.0000 0.5000
```

#ii
Compound: Re2H2Se
Source: Alexandria
Functional: GGA-PBE
Structure: relaxed

Cell and atoms, written as CIF:
```
data_Re2H2Se
_cell_length_a 3.7758
_cell_length_b 3.7758
_cell_length_c 8.5654
_cell_angle_alpha 90.00
_cell_angle_beta 90.00
_cell_angle_gamma 90.00
_symmetry_space_group_name_H-M 'I 4/m m m'
_symmetry_Int_Tables_number 139
_symmetry_space_group_name_Hall '-I 4 2'
loop_
_atom_site_label
_atom_site_type_symbol
_atom_site_fract_x
_atom_site_fract_y
_atom_site_fract_z
Re1 Re 0.0000 0.5000 0.2500
H1 H 0.0000 0.0000 0.1757
Se1 Se 0.0000 0.0000 0.5000
```

#iii
Compound: Re2H2Se
Source: Alexandria
Functional: GGA-PBE
Structure: relaxed

Cell and atoms, written as CIF:
```
data_Re2H2Se
_cell_length_a 6.4867
_cell_length_b 6.4867
_cell_length_c 2.8335
_cell_angle_alpha 90.00
_cell_angle_beta 90.00
_cell_angle_gamma 90.00
_symmetry_space_group_name_H-M 'P 4/m b m'
_symmetry_Int_Tables_number 127
_symmetry_space_group_name_Hall '-P 4 2ab'
loop_
_atom_site_label
_atom_site_type_symbol
_atom_site_fract_x
_atom_site_fract_y
_atom_site_fract_z
Re1 Re 0.1281 0.3719 0.0000
H1 H 0.1063 0.6063 0.5000
Se1 Se 0.0000 0.0000 0.0000
```

#iv
Compound: Re2H2Se
Source: Alexandria
Functional: GGA-PBE
Structure: relaxed

Cell and atoms, written as CIF:
```
data_Re2H2Se
_cell_length_a 3.1601
_cell_length_b 3.1601
_cell_length_c 10.3832
_cell_angle_alpha 90.00
_cell_angle_beta 90.00
_cell_angle_gamma 90.00
_symmetry_space_group_name_H-M 'I 4/m m m'
_symmetry_Int_Tables_number 139
_symmetry_space_group_name_Hall '-I 4 2'
loop_
_atom_site_label
_atom_site_type_symbol
_atom_site_fract_x
_atom_site_fract_y
_atom_site_fract_z
Re1 Re 0.0000 0.0000 0.1524
H1 H 0.0000 0.5000 0.2500
Se1 Se 0.0000 0.0000 0.5000
```

Most favorable structure: #iv. The second most favorable one is 215 meV per atom above it.

#i
Compound: ReSiH3
Source: Alexandria
Functional: GGA-PBE
Structure: relaxed

Cell and atoms, written as CIF:
```
data_ReSiH3
_cell_length_a 3.5017
_cell_length_b 3.5017
_cell_length_c 3.5017
_cell_angle_alpha 90.00
_cell_angle_beta 90.00
_cell_angle_gamma 90.00
_symmetry_space_group_name_H-M 'P m -3 m'
_symmetry_Int_Tables_number 221
_symmetry_space_group_name_Hall '-P 4 2 3'
loop_
_atom_site_label
_atom_site_type_symbol
_atom_site_fract_x
_atom_site_fract_y
_atom_site_fract_z
Re1 Re 0.0000 0.0000 0.0000
Si1 Si 0.5000 0.5000 0.5000
H1 H 0.0000 0.0000 0.5000
```

#ii
Compound: ReSiH3
Source: Alexandria
Functional: GGA-PBE
Structure: relaxed

Cell and atoms, written as CIF:
```
data_ReSiH3
_cell_length_a 3.3330
_cell_length_b 3.3330
_cell_length_c 3.3330
_cell_angle_alpha 90.00
_cell_angle_beta 90.00
_cell_angle_gamma 90.00
_symmetry_space_group_name_H-M 'P m -3 m'
_symmetry_Int_Tables_number 221
_symmetry_space_group_name_Hall '-P 4 2 3'
loop_
_atom_site_label
_atom_site_type_symbol
_atom_site_fract_x
_atom_site_fract_y
_atom_site_fract_z
Re1 Re 0.0000 0.0000 0.0000
Si1 Si 0.5000 0.5000 0.5000
H1 H 0.0000 0.5000 0.5000
```

Most favorable structure: #i. The second most favorable one is 472 meV per atom above it.

#i
Compound: Re2SiH
Source: Alexandria
Functional: GGA-PBE
Structure: relaxed

Cell and atoms, written as CIF:
```
data_Re2SiH
_cell_length_a 4.8188
_cell_length_b 4.8188
_cell_length_c 9.1985
_cell_angle_alpha 90.00
_cell_angle_beta 90.00
_cell_angle_gamma 90.00
_symmetry_space_group_name_H-M 'I -4 2 d'
_symmetry_Int_Tables_number 122
_symmetry_space_group_name_Hall 'I -4 2bw'
loop_
_atom_site_label
_atom_site_type_symbol
_atom_site_fract_x
_atom_site_fract_y
_atom_site_fract_z
Re1 Re 0.1145 0.2500 0.1250
Si1 Si 0.0000 0.0000 0.5000
H1 H 0.0000 0.0000 0.0000
```

#ii
Compound: Re2SiH
Source: Alexandria
Functional: GGA-PBE
Structure: relaxed

Cell and atoms, written as CIF:
```
data_Re2SiH
_cell_length_a 5.7572
_cell_length_b 5.7572
_cell_length_c 5.7572
_cell_angle_alpha 90.00
_cell_angle_beta 90.00
_cell_angle_gamma 90.00
_symmetry_space_group_name_H-M 'F m -3 m'
_symmetry_Int_Tables_number 225
_symmetry_space_group_name_Hall '-F 4 2 3'
loop_
_atom_site_label
_atom_site_type_symbol
_atom_site_fract_x
_atom_site_fract_y
_atom_site_fract_z
Re1 Re 0.2500 0.2500 0.2500
Si1 Si 0.0000 0.0000 0.0000
H1 H 0.0000 0.0000 0.5000
```

Most favorable structure: #ii. The second most favorable one is 123 meV per atom above it.

#i
Compound: Re2SnH
Source: Alexandria
Functional: GGA-PBE
Structure: relaxed

Cell and atoms, written as CIF:
```
data_Re2SnH
_cell_length_a 6.1698
_cell_length_b 6.1698
_cell_length_c 6.1698
_cell_angle_alpha 90.00
_cell_angle_beta 90.00
_cell_angle_gamma 90.00
_symmetry_space_group_name_H-M 'F m -3 m'
_symmetry_Int_Tables_number 225
_symmetry_space_group_name_Hall '-F 4 2 3'
loop_
_atom_site_label
_atom_site_type_symbol
_atom_site_fract_x
_atom_site_fract_y
_atom_site_fract_z
Re1 Re 0.2500 0.2500 0.2500
Sn1 Sn 0.0000 0.0000 0.0000
H1 H 0.0000 0.0000 0.5000
```

#ii
Compound: Re2SnH
Source: Alexandria
Functional: GGA-PBE
Structure: relaxed

Cell and atoms, written as CIF:
```
data_Re2SnH
_cell_length_a 4.9418
_cell_length_b 4.9418
_cell_length_c 10.0739
_cell_angle_alpha 90.00
_cell_angle_beta 90.00
_cell_angle_gamma 90.00
_symmetry_space_group_name_H-M 'I -4 2 d'
_symmetry_Int_Tables_number 122
_symmetry_space_group_name_Hall 'I -4 2bw'
loop_
_atom_site_label
_atom_site_type_symbol
_atom_site_fract_x
_atom_site_fract_y
_atom_site_fract_z
Re1 Re 0.0360 0.2500 0.1250
Sn1 Sn 0.0000 0.0000 0.5000
H1 H 0.0000 0.0000 0.0000
```

Most favorable structure: #ii. The second most favorable one is 632 meV per atom above it.

#i
Compound: SrRe3H
Source: Alexandria
Functional: GGA-PBE
Structure: relaxed

Cell and atoms, written as CIF:
```
data_SrRe3H
_cell_length_a 4.8863
_cell_length_b 4.8863
_cell_length_c 4.8863
_cell_angle_alpha 90.00
_cell_angle_beta 90.00
_cell_angle_gamma 90.00
_symmetry_space_group_name_H-M 'P m -3 m'
_symmetry_Int_Tables_number 221
_symmetry_space_group_name_Hall '-P 4 2 3'
loop_
_atom_site_label
_atom_site_type_symbol
_atom_site_fract_x
_atom_site_fract_y
_atom_site_fract_z
Sr1 Sr 0.0000 0.0000 0.0000
Re1 Re 0.0000 0.0000 0.5000
H1 H 0.5000 0.5000 0.5000
```

#ii
Compound: SrRe3H
Source: Alexandria
Functional: GGA-PBE
Structure: relaxed

Cell and atoms, written as CIF:
```
data_SrRe3H
_cell_length_a 4.2165
_cell_length_b 4.2165
_cell_length_c 4.2165
_cell_angle_alpha 90.00
_cell_angle_beta 90.00
_cell_angle_gamma 90.00
_symmetry_space_group_name_H-M 'P m -3 m'
_symmetry_Int_Tables_number 221
_symmetry_space_group_name_Hall '-P 4 2 3'
loop_
_atom_site_label
_atom_site_type_symbol
_atom_site_fract_x
_atom_site_fract_y
_atom_site_fract_z
Sr1 Sr 0.0000 0.0000 0.0000
Re1 Re 0.0000 0.5000 0.5000
H1 H 0.5000 0.5000 0.5000
```

Most favorable structure: #ii. The second most favorable one is 3258 meV per atom above it.

#i
Compound: SrReH2
Source: Alexandria
Functional: GGA-PBE
Structure: relaxed

Cell and atoms, written as CIF:
```
data_SrReH2
_cell_length_a 6.0960
_cell_length_b 6.0960
_cell_length_c 6.0960
_cell_angle_alpha 90.00
_cell_angle_beta 90.00
_cell_angle_gamma 90.00
_symmetry_space_group_name_H-M 'F m -3 m'
_symmetry_Int_Tables_number 225
_symmetry_space_group_name_Hall '-F 4 2 3'
loop_
_atom_site_label
_atom_site_type_symbol
_atom_site_fract_x
_atom_site_fract_y
_atom_site_fract_z
Sr1 Sr 0.0000 0.0000 0.0000
Re1 Re 0.0000 0.0000 0.5000
H1 H 0.2500 0.2500 0.2500
```

#ii
Compound: SrReH2
Source: Alexandria
Functional: GGA-PBE
Structure: relaxed

Cell and atoms, written as CIF:
```
data_SrReH2
_cell_length_a 5.3228
_cell_length_b 5.3228
_cell_length_c 7.3419
_cell_angle_alpha 90.00
_cell_angle_beta 90.00
_cell_angle_gamma 90.00
_symmetry_space_group_name_H-M 'I -4 2 d'
_symmetry_Int_Tables_number 122
_symmetry_space_group_name_Hall 'I -4 2bw'
loop_
_atom_site_label
_atom_site_type_symbol
_atom_site_fract_x
_atom_site_fract_y
_atom_site_fract_z
Sr1 Sr 0.0000 0.0000 0.0000
Re1 Re 0.0000 0.0000 0.5000
H1 H 0.1568 0.2500 0.6250
```

Most favorable structure: #ii. The second most favorable one is 864 meV per atom above it.